{
  "formula": "NaY3Ti",
  "functional": "GGA-PBEsol",
  "state": "relaxed",
  "lattice_angstrom": [[5.4375, 0.0000, 0.0000], [0.0000, 5.4375, 0.0000], [0.0000, 0.0000, 5.4375]],
  "species": ["Na", "Y", "Y", "Y", "Ti"],
  "frac_coords": [[0.0000, 0.0000, 0.0000], [0.0000, 0.5000, 0.5000], [0.5000, 0.0000, 0.5000], [0.5000, 0.5000, 0.0000], [0.5000, 0.5000, 0.5000]],
  "ef_mev_per_atom": 521,
  "space_group": "Pm-3m, No. 221"
}



{
  "formula": "NaTiZn3",
  "functional": "GGA-PBEsol",
  "state": "relaxed",
  "lattice_angstrom": [[4.5267, 0.0000, 0.0000], [0.0000, 4.5267, 0.0000], [0.0000, 0.0000, 4.5267]],
  "species": ["Na", "Ti", "Zn", "Zn", "Zn"],
  "frac_coords": [[0.0000, 0.0000, 0.0000], [0.5000, 0.5000, 0.5000], [0.0000, 0.0000, 0.5000], [0.0000, 0.5000, 0.0000], [0.5000, 0.0000, 0.0000]],
  "ef_mev_per_atom": 1049,
  "space_group": "Pm-3m, No. 221"
}



{
  "formula": "Na3Tl",
  "functional": "GGA-PBEsol",
  "state": "relaxed",
  "lattice_angstrom": [[0.0000, 3.8612, 3.8612], [3.8612, 0.0000, 3.8612], [3.8612, 3.8612, 0.0000]],
  "species": ["Na", "Na", "Na", "Tl"],
  "frac_coords": [[0.0000, 0.0000, 0.0000], [0.2500, 0.2500, 0.2500], [0.7500, 0.7500, 0.7500], [0.5000, 0.5000, 0.5000]],
  "ef_mev_per_atom": -70,
  "polymorph_energy_mev_per_atom": 7,
  "space_group": "Fm-3m, No. 225"
}



{
  "formula": "Na3Tl",
  "functional": "GGA-PBEsol",
  "state": "relaxed",
  "lattice_angstrom": [[-2.4460, 2.4460, 4.8063], [2.4460, -2.4460, 4.8063], [2.4460, 2.4460, -4.8063]],
  "species": ["Na", "Na", "Na", "Tl"],
  "frac_coords": [[0.0000, 0.0000, 0.0000], [0.2500, 0.7500, 0.5000], [0.7500, 0.2500, 0.5000], [0.5000, 0.5000, 0.0000]],
  "ef_mev_per_atom": -75,
  "polymorph_energy_mev_per_atom": 2,
  "space_group": "I4/mmm, No. 139"
}



{
  "formula": "Na3Tl",
  "functional": "GGA-PBEsol",
  "state": "relaxed",
  "lattice_angstrom": [[4.8747, 0.0000, 0.0000], [0.0000, 4.8747, 0.0000], [0.0000, 0.0000, 4.8747]],
  "species": ["Na", "Na", "Na", "Tl"],
  "frac_coords": [[0.0000, 0.0000, 0.5000], [0.0000, 0.5000, 0.0000], [0.5000, 0.0000, 0.0000], [0.5000, 0.5000, 0.5000]],
  "ef_mev_per_atom": -70,
  "polymorph_energy_mev_per_atom": 7,
  "space_group": "Pm-3m, No. 221"
}



{
  "formula": "Na3Tl",
  "functional": "GGA-PBEsol",
  "state": "relaxed",
  "lattice_angstrom": [[6.8821, 0.0000, 0.0000], [-3.4410, 5.9600, 0.0000], [0.0000, 0.0000, 5.7060]],
  "species": ["Na", "Na", "Na", "Na", "Na", "Na", "Tl", "Tl"],
  "frac_coords": [[0.1735, 0.3471, 0.2500], [0.1735, 0.8265, 0.2500], [0.3471, 0.1735, 0.7500], [0.6529, 0.8265, 0.2500], [0.8265, 0.1735, 0.7500], [0.8265, 0.6529, 0.7500], [0.3333, 0.6667, 0.7500], [0.6667, 0.3333, 0.2500]],
  "ef_mev_per_atom": -77,
  "polymorph_energy_mev_per_atom": 0,
  "space_group": "P6_3/mmc, No. 194"
}



no.,final energy (eV/f.u.),volume (Å³/cell)
1,-27.6,160.76
2,-9.2,92.75
3,-7.1,115.13
4,-7.1,115.02
5,-7.1,115.84
6,-7.1,234.04